<A>
11
Lattice="3.6000 0.0000 -0.6892 -0.3517 7.2419 -1.8370 0.3044 0.5966 11.3359" Properties=species:S:1:pos:R:3 comment="Dy8CoNi2, optimized geometry, DFT PBE" magmom_total_mub_per_fu=0.000 dos_ef_per_ev_cell=12.5 pbc="T T T"
Dy 1.8999 5.9866 0.1771
Dy 3.4062 6.1055 8.0451
Ni 0.5342 5.7718 2.7904
Dy 1.6528 1.8520 8.6326
Ni 3.0184 2.0668 6.0193
Dy 2.3968 3.7869 2.7727
Dy 0.8355 1.1422 4.3640
Co 1.8000 0.0000 -0.3446
Dy 0.1464 1.7330 0.7646
Dy 1.1558 4.0517 6.0371
Dy 2.7171 6.6964 4.4457

<B>
11
Lattice="-3.5266 0.7752 -3.4500 -1.8031 -6.3009 0.4273 -2.9685 3.6657 7.4725" Properties=species:S:1:pos:R:3 comment="Dy8CoNi2, optimized geometry, DFT PBE" magmom_total_mub_per_fu=0.000 dos_ef_per_ev_cell=11.9 pbc="T T T"
Ni -5.1929 1.1699 1.9565
Ni -3.1052 -3.0299 2.4934
Dy -3.1830 2.5418 3.8247
Dy -5.7975 -1.4362 1.9889
Dy -5.1151 -4.4018 0.6251
Dy -2.5007 -0.4238 2.4609
Dy -4.8907 -0.1940 4.9556
Dy -3.4074 -1.6660 -0.5058
Dy -6.5254 2.8427 3.6944
Co -1.7633 0.3876 -1.7250
Dy -1.7728 -4.7027 0.7555

Which of them is most stable, and which least? Most stable: <B>; least stable: <A>.

<A>
4
Lattice="4.7314 0.0000 0.0000 2.3657 4.0975 0.0000 2.3657 1.3658 3.8632" Properties=species:S:1:pos:R:3 comment="DyPaCoNi, optimized geometry, DFT PBE" magmom_total_mub_per_fu=0.000 dos_ef_per_ev_cell=4.3 pbc="T T T"
Dy 4.7314 2.7317 1.9316
Pa 0.0000 0.0000 0.0000
Co 7.0971 4.0975 2.8974
Ni 2.3657 1.3658 0.9658

<B>
4
Lattice="3.5951 0.0000 0.0000 0.0000 3.8064 0.0000 -1.7976 0.0000 5.7422" Properties=species:S:1:pos:R:3 comment="DyPaCoNi, optimized geometry, DFT PBE" magmom_total_mub_per_fu=0.000 dos_ef_per_ev_cell=3.3 pbc="T T T"
Dy 0.0000 0.0000 1.7248
Pa 1.7976 1.9032 4.4064
Ni 1.7976 1.9032 0.7240
Co 0.0000 0.0000 4.6292

Which of them is most stable, and which least? Most stable: <B>; least stable: <A>.

<A>
4
Lattice="4.8099 0.0000 0.0000 2.4050 4.1655 0.0000 2.4050 1.3885 3.9273" Properties=species:S:1:pos:R:3 comment="PmDyCoNi, optimized geometry, DFT PBE" magmom_total_mub_per_fu=0.181 dos_ef_per_ev_cell=3.4 pbc="T T T"
Dy 4.8099 2.7770 1.9636
Pm 0.0000 0.0000 0.0000
Ni 7.2149 4.1655 2.9455
Co 2.4050 1.3885 0.9818

<B>
4
Lattice="-2.7581 2.4370 1.2188 -2.5344 -3.0244 0.3118 2.9323 -1.9972 4.4627" Properties=species:S:1:pos:R:3 comment="PmDyCoNi, optimized geometry, DFT PBE" magmom_total_mub_per_fu=0.000 dos_ef_per_ev_cell=3.0 pbc="T T T"
Co 1.3508 -0.6772 4.4109
Pm -1.5362 -0.8502 4.3901
Ni -2.4307 -0.4018 1.4691
Dy 0.4302 -0.2157 1.4047

Which of them is most stable, and which least? Most stable: <B>; least stable: <A>.

<A>
4
Lattice="-3.3768 1.7977 2.7442 -0.4349 -1.4547 4.4564 1.1332 2.8889 3.5405" Properties=species:S:1:pos:R:3 comment="DyTmCoNi, optimized geometry, DFT PBE" magmom_total_mub_per_fu=0.012 dos_ef_per_ev_cell=2.5 pbc="T T T"
Dy 0.0000 0.0000 0.0000
Ni -0.6696 0.8080 2.6853
Tm -1.3393 1.6159 5.3705
Co -2.0089 2.4239 8.0558

<B>
4
Lattice="3.8047 0.0000 0.0000 0.0000 3.9443 0.0000 -1.9024 0.0000 5.1665" Properties=species:S:1:pos:R:3 comment="DyTmCoNi, optimized geometry, DFT PBE" magmom_total_mub_per_fu=0.000 dos_ef_per_ev_cell=3.0 pbc="T T T"
Ni 1.9024 1.9722 0.6928
Dy 0.0000 0.0000 1.4880
Tm 1.9024 1.9722 3.7139
Co 0.0000 0.0000 4.4383

Which of them is most stable, and which least? Most stable: <B>; least stable: <A>.